An optimized crystal structure of Hf5InHg. Source: Alexandria, functional PBE.

Lattice parameters (Å, degrees): 7.991 10.679 7.786 90.00 99.93 90.00
Space group C2/c (No. 15)
Asymmetric unit:
Hf (0.000, 0.007, 0.250)
Hf (0.124, 0.270, 0.126)
Hf (0.164, 0.500, 0.406)
In (0.000, 0.270, 0.750)
Hg (0.250, 0.250, 0.500)

Calculated values
Raw total energy, hartree per atom: -0.267
N(E_F), states/eV per cell: 36.869